# 1
The following is a DFT calculation (PBE) of a relaxed structure of TbP2.

a = 4.6416 Å, b = 4.6416 Å, c = 4.6416 Å
α = 60.00°, β = 60.00°, γ = 60.00°
Closest atoms and distances in Å follow each position.
Fractional positions:
P (0.2500, 0.2500, 0.2500)  4 Tb 2.84
P (0.7500, 0.7500, 0.7500)  4 Tb 2.84
Tb (0.0000, 0.0000, 0.0000)  8 P 2.84

Values from the calculation:
SG = Fm-3m, No. 225
total DFT energy (no corrections) = -5.446 eV per atom

# 2
The following is a DFT calculation (PBE) of a relaxed structure of Tb2P.

a = 5.9844 Å, b = 5.9844 Å, c = 5.9844 Å
α = 60.00°, β = 60.00°, γ = 60.00°
Closest atoms and distances in Å follow each position.
Fractional positions:
Tb (0.6250, 0.6250, 0.1250)  6 Tb 2.99
Tb (0.6250, 0.1250, 0.6250)  6 Tb 2.99
Tb (0.6250, 0.6250, 0.6250)  6 Tb 2.99
Tb (0.1250, 0.6250, 0.6250)  6 Tb 2.99
P (0.0000, 0.0000, 0.0000)  12 Tb 3.51, 4 P 3.66
P (0.2500, 0.2500, 0.2500)  12 Tb 3.51, 4 P 3.66

Values from the calculation:
SG = Fd-3m, No. 227
total DFT energy (no corrections) = -4.562 eV per atom

# 3
The following is a DFT calculation (PBE) of a relaxed structure of TbTc4P2.

a = 7.0735 Å, b = 7.0735 Å, c = 4.0095 Å
α = 90.00°, β = 90.00°, γ = 146.72°
Closest atoms and distances in Å follow each position.
Fractional positions:
Tc (0.1829, 0.8171, 0.5000)  2 P 2.41, 2 Tc 2.63
Tc (0.8171, 0.1829, 0.5000)  2 P 2.41, 2 Tc 2.63
Tc (0.6910, 0.3090, 0.0000)  2 P 2.46, 4 Tc 2.58-2.63
Tc (0.3090, 0.6910, 0.0000)  2 P 2.46, 4 Tc 2.58-2.63
Tb (0.0000, 0.0000, 0.0000)  8 P 3.08, 8 Tc 3.19-3.29
P (0.5864, 0.4136, 0.5000)  1 P 2.34, 4 Tc 2.41-2.46
P (0.4136, 0.5864, 0.5000)  1 P 2.34, 4 Tc 2.41-2.46

Values from the calculation:
SG = Cmmm, No. 65
total DFT energy (no corrections) = -8.844 eV per atom

# 4
The following is a DFT calculation (PBE) of a relaxed structure of Tb3Te2P.

a = 4.1975 Å, b = 4.1975 Å, c = 10.7534 Å
α = 90.00°, β = 90.00°, γ = 120.00°
Closest atoms and distances in Å follow each position.
Fractional positions:
Tb (0.6667, 0.3333, 0.1337)  3 P 2.82
Tb (0.0000, 0.0000, 0.5000)  6 Te 3.08
Tb (0.3333, 0.6667, 0.8663)  3 P 2.82
Te (0.3333, 0.6667, 0.3235)  6 Tb 3.08-3.17
Te (0.6667, 0.3333, 0.6765)  6 Tb 3.08-3.17
P (0.0000, 0.0000, 0.0000)  6 Tb 2.82

Values from the calculation:
SG = P-3m1, No. 164
total DFT energy (no corrections) = -5.737 eV per atom

# 5
The following is a DFT calculation (PBE) of a relaxed structure of Tb2TeP.

a = 4.1298 Å, b = 4.1298 Å, c = 7.4756 Å
α = 106.03°, β = 106.03°, γ = 60.01°
Closest atoms and distances in Å follow each position.
Fractional positions:
Te (0.5000, 0.5000, 0.5000)  6 Tb 3.14
Tb (0.2631, 0.2631, 0.7894)  3 P 2.81, 3 Te 3.14
Tb (0.7369, 0.7369, 0.2106)  3 P 2.81, 3 Te 3.14
P (0.0000, 0.0000, 0.0000)  6 Tb 2.81

Values from the calculation:
SG = R-3m, No. 166
total DFT energy (no corrections) = -6.021 eV per atom

# 6
The following is a DFT calculation (PBE) of a relaxed structure of Tb3TeP2.

a = 4.1036 Å, b = 4.1036 Å, c = 10.3466 Å
α = 90.00°, β = 90.00°, γ = 120.00°
Closest atoms and distances in Å follow each position.
Fractional positions:
Tb (0.0000, 0.0000, 0.5000)  6 P 2.88
Tb (0.6667, 0.3333, 0.2016)  3 P 2.78
Tb (0.3333, 0.6667, 0.7984)  3 P 2.78
Te (0.0000, 0.0000, 0.0000)  6 Tb 3.16
P (0.3333, 0.6667, 0.3424)  6 Tb 2.78-2.88
P (0.6667, 0.3333, 0.6576)  6 Tb 2.78-2.88

Values from the calculation:
SG = P-3m1, No. 164
total DFT energy (no corrections) = -6.246 eV per atom